Record 1
Entry from Alexandria via LeMat-Bulk: an optimized crystal structure of SrCrPS2 (PBE).

abc: 4.813 4.813 4.466
angles: 90.00 90.00 90.00
Sites, in units of the cell vectors:
Sr 0.500 0.500 0.500
S 0.000 0.500 0.000
S 0.500 0.000 0.000
P 0.000 0.000 0.500
Cr 0.000 0.000 0.000

Calculated values
- E_form (uncorrected): -0.681 eV per atom
- Space-group type: No. 123
- Volume: 20.70 A^3/atom
- Distance to the lowest polymorph of the same formula: 0.0000 eV/atom

---

Record 2
Entry from Alexandria via LeMat-Bulk: an optimized crystal structure of LaTbZnAu (PBE).

abc: 5.227 5.227 5.227
angles: 60.00 60.00 60.00
Sites, in units of the cell vectors:
Tb 0.750 0.750 0.750
Zn 0.000 0.000 0.000
Au 0.500 0.500 0.500
La 0.250 0.250 0.250

Calculated values
- Space-group type: No. 216
- Volume: 25.24 A^3/atom
- Distance to the lowest polymorph of the same formula: 0.0276 eV/atom

---

Record 3
Entry from Alexandria via LeMat-Bulk: an optimized crystal structure of Pm3Si3Pt8 (PBE).

abc: 4.392 8.365 8.338
angles: 62.04 74.73 74.78
Sites, in units of the cell vectors:
Pm 0.288 0.745 0.679
Pm 0.712 0.255 0.321
Pm 0.000 0.000 0.000
Si 0.000 0.500 0.500
Si 0.670 0.661 0.000
Si 0.330 0.339 0.000
Pt 0.114 0.175 0.598
Pt 0.886 0.825 0.402
Pt 0.857 0.438 0.847
Pt 0.143 0.562 0.153
Pt 0.511 0.664 0.314
Pt 0.489 0.336 0.686
Pt 0.354 0.044 0.249
Pt 0.646 0.956 0.751

Calculated values
- E_form (uncorrected): -1.040 eV per atom
- Space-group type: No. 12
- Volume: 18.39 A^3/atom

---

Record 4
Entry from Alexandria via LeMat-Bulk: an optimized crystal structure of ErTmTh2Bi4 (PBE).

abc: 4.531 7.842 7.794
angles: 109.67 90.00 90.00
Sites, in units of the cell vectors:
Er 0.500 0.500 0.000
Tm 0.000 0.000 0.000
Th 0.500 0.000 0.500
Th 0.000 0.500 0.500
Bi 0.500 0.245 0.237
Bi 0.500 0.755 0.763
Bi 0.000 0.254 0.763
Bi 0.000 0.746 0.237

Calculated values
- Space-group type: No. 10
- Volume: 32.60 A^3/atom
- Raw total energy: -5.599 eV per atom

---

Record 5
Entry from Alexandria via LeMat-Bulk: an optimized crystal structure of Y15Ho2Sc2 (PBE).

abc: 8.698 8.698 8.698
angles: 79.17 79.17 79.17
Sites, in units of the cell vectors:
Y 0.000 0.000 0.500
Y 0.500 0.000 0.000
Y 0.000 0.500 0.000
Y 0.295 0.705 0.000
Y 0.000 0.295 0.705
Y 0.705 0.000 0.295
Y 0.000 0.705 0.295
Y 0.295 0.000 0.705
Y 0.705 0.295 0.000
Y 0.630 0.630 0.147
Y 0.147 0.630 0.630
Y 0.630 0.147 0.630
Y 0.370 0.370 0.853
Y 0.853 0.370 0.370
Y 0.370 0.853 0.370
Ho 0.318 0.318 0.318
Ho 0.682 0.682 0.682
Sc 0.090 0.090 0.090
Sc 0.910 0.910 0.910

Calculated values
- Space-group type: No. 166
- Volume: 32.99 A^3/atom
- Raw total energy: -5.944 eV per atom

---

Record 6
Entry from Alexandria via LeMat-Bulk: an optimized crystal structure of TbYV (PBE).

abc: 3.317 3.317 14.368
angles: 96.63 96.63 90.00
Sites, in units of the cell vectors:
V 0.268 0.268 0.536
V 0.732 0.732 0.464
Tb 0.158 0.158 0.317
Tb 0.842 0.842 0.683
Y 0.560 0.560 0.121
Y 0.440 0.440 0.879

Calculated values
- Space-group type: No. 139
- Volume: 26.00 A^3/atom
- Raw total energy: -6.459 eV per atom

---

Record 7
Entry from Alexandria via LeMat-Bulk: an optimized crystal structure of TmCuRh (PBE).

abc: 3.409 4.292 4.292
angles: 120.00 90.00 90.00
Sites, in units of the cell vectors:
Tm 0.667 0.667 0.333
Rh 0.167 0.333 0.667
Cu 0.166 0.000 0.000

Calculated values
- Space-group type: No. 187
- Volume: 18.13 A^3/atom
- Distance to the lowest polymorph of the same formula: 0.0965 eV/atom

---

Record 8
Entry from Alexandria via LeMat-Bulk: an optimized crystal structure of Co4CuOs (PBE).

abc: 4.676 4.676 4.676
angles: 60.00 60.00 60.00
Sites, in units of the cell vectors:
Co 0.875 0.375 0.375
Co 0.375 0.375 0.875
Co 0.375 0.875 0.375
Co 0.375 0.375 0.375
Cu 0.750 0.750 0.750
Os 0.000 0.000 0.000

Calculated values
- Space-group type: No. 216
- Volume: 12.05 A^3/atom
- Raw total energy: -7.008 eV per atom

---

Record 9
Entry from Alexandria via LeMat-Bulk: an optimized crystal structure of Cs2K7Au2 (PBE).

abc: 5.137 11.823 11.823
angles: 79.10 77.35 77.35
Sites, in units of the cell vectors:
Cs 0.876 0.626 0.626
Cs 0.124 0.374 0.374
K 0.624 0.112 0.641
K 0.376 0.359 0.888
K 0.376 0.888 0.359
K 0.624 0.641 0.112
K 0.500 0.000 0.000
K 0.841 0.159 0.159
K 0.159 0.841 0.841
Au 0.000 0.846 0.154
Au 0.000 0.154 0.846

Calculated values
- Space-group type: No. 12
- Volume: 61.45 A^3/atom
- Raw total energy: -1.529 eV per atom

---

Record 10
Entry from Alexandria via LeMat-Bulk: an optimized crystal structure of LaNd2CdN (PBE).

abc: 5.102 5.065 5.065
angles: 90.00 90.00 90.00
Sites, in units of the cell vectors:
La 0.500 0.000 0.000
Nd 0.000 0.000 0.500
Nd 0.000 0.500 0.000
Cd 0.500 0.500 0.500
N 0.000 0.000 0.000

Calculated values
- E_form (uncorrected): -0.705 eV per atom
- Space-group type: No. 123
- Volume: 26.17 A^3/atom

---

Record 11
Entry from Alexandria via LeMat-Bulk: an optimized crystal structure of Y6Ga2Sn (PBE).

abc: 8.664 8.664 8.664
angles: 104.21 112.26 112.07
Sites, in units of the cell vectors:
Y 0.540 0.723 0.817
Y 0.460 0.277 0.183
Y 0.095 0.277 0.817
Y 0.905 0.723 0.183
Y 0.798 0.760 0.558
Y 0.202 0.240 0.442
Y 0.202 0.760 0.961
Y 0.798 0.240 0.039
Y 0.701 0.379 0.678
Y 0.299 0.621 0.322
Y 0.299 0.978 0.678
Y 0.701 0.022 0.322
Ga 0.500 0.380 0.880
Ga 0.500 0.620 0.120
Ga 0.646 0.000 0.646
Ga 0.354 0.000 0.354
Sn 0.000 0.500 0.500
Sn 0.000 0.000 0.000

Calculated values
- Space-group type: No. 71
- Volume: 27.64 A^3/atom
- Raw total energy: -5.947 eV per atom

---

Record 12
Entry from Alexandria via LeMat-Bulk: an optimized crystal structure of HPt2S (PBE).

abc: 4.793 4.793 5.946
angles: 66.24 66.24 90.00
Sites, in units of the cell vectors:
H 0.500 0.500 0.000
H 0.250 0.750 0.500
S 0.000 0.000 0.000
S 0.750 0.250 0.500
Pt 0.545 0.125 0.250
Pt 0.205 0.625 0.250
Pt 0.375 0.455 0.750
Pt 0.875 0.795 0.750

Calculated values
- Space-group type: No. 122
- Volume: 14.03 A^3/atom
- Distance to the lowest polymorph of the same formula: 0.0000 eV/atom

---

Record 13
Entry from Alexandria via LeMat-Bulk: an optimized crystal structure of CuAg2F4 (PBE).

abc: 6.066 6.066 6.206
angles: 90.00 90.00 117.07
Sites, in units of the cell vectors:
Cu 0.500 0.500 0.250
Cu 0.500 0.500 0.750
Ag 0.168 0.832 0.000
Ag 0.832 0.168 0.000
Ag 0.168 0.832 0.500
Ag 0.832 0.168 0.500
F 0.698 0.698 0.000
F 0.302 0.302 0.000
F 0.302 0.302 0.500
F 0.698 0.698 0.500
F 0.500 0.000 0.250
F 0.000 0.500 0.250
F 0.500 0.000 0.750
F 0.000 0.500 0.750

Calculated values
- E_form (uncorrected): -1.137 eV per atom
- Space-group type: No. 65
- Volume: 14.52 A^3/atom
- Distance to the lowest polymorph of the same formula: 0.0485 eV/atom

---

Record 14
Entry from Alexandria via LeMat-Bulk: an optimized crystal structure of PrEuCd2 (PBE).

abc: 5.521 5.521 5.521
angles: 60.00 60.00 60.00
Sites, in units of the cell vectors:
Eu 0.000 0.000 0.000
Pr 0.500 0.500 0.500
Cd 0.250 0.250 0.250
Cd 0.750 0.750 0.750

Calculated values
- Space-group type: No. 225
- Volume: 29.75 A^3/atom
- Distance to the lowest polymorph of the same formula: 0.0096 eV/atom

---

Record 15
Entry from Alexandria via LeMat-Bulk: an optimized crystal structure of Cs2AsPt (PBE).

abc: 13.326 13.326 9.708
angles: 46.66 46.66 90.00
Sites, in units of the cell vectors:
Cs 0.807 0.125 0.250
Cs 0.943 0.625 0.250
Cs 0.375 0.193 0.750
Cs 0.875 0.057 0.750
As 0.500 0.500 0.000
As 0.250 0.750 0.500
Pt 0.000 0.000 0.000
Pt 0.750 0.250 0.500

Calculated values
- Space-group type: No. 122
- Volume: 51.88 A^3/atom
- Raw total energy: -3.458 eV per atom

---

Record 16
Entry from Alexandria via LeMat-Bulk: an optimized crystal structure of PmY4Er4 (PBE).

abc: 5.017 7.946 7.946
angles: 84.28 71.60 71.60
Sites, in units of the cell vectors:
Pm 0.000 0.000 0.000
Y 0.667 0.665 0.000
Y 0.333 0.335 0.000
Y 0.667 0.000 0.665
Y 0.333 0.000 0.335
Er 0.665 0.335 0.335
Er 0.335 0.665 0.665
Er 0.000 0.665 0.335
Er 0.000 0.335 0.665

Calculated values
- Space-group type: No. 139
- Volume: 31.68 A^3/atom
- Raw total energy: -5.404 eV per atom

---

Record 17
Entry from Alexandria via LeMat-Bulk: an optimized crystal structure of Ce3IBr7 (PBE).

abc: 7.082 8.922 8.922
angles: 120.00 90.00 90.00
Sites, in units of the cell vectors:
Ce 0.788 0.501 0.499
Ce 0.788 0.501 0.002
Ce 0.788 0.998 0.499
I 0.510 0.333 0.667
Br 0.007 0.177 0.823
Br 0.007 0.177 0.354
Br 0.025 0.667 0.333
Br 0.565 0.822 0.178
Br 0.565 0.356 0.178
Br 0.565 0.822 0.644
Br 0.007 0.646 0.823

Calculated values
- E_form (uncorrected): -1.697 eV per atom
- Space-group type: No. 156
- Volume: 44.39 A^3/atom

---

Record 18
Entry from Alexandria via LeMat-Bulk: an optimized crystal structure of DyTmMg (PBE).

abc: 4.569 4.569 4.569
angles: 76.97 76.97 76.97
Sites, in units of the cell vectors:
Mg 0.370 0.370 0.370
Tm 0.056 0.056 0.056
Dy 0.687 0.687 0.687

Calculated values
- Space-group type: No. 160
- Volume: 29.66 A^3/atom
- Distance to the lowest polymorph of the same formula: 0.3801 eV/atom

---

Record 19
Entry from Alexandria via LeMat-Bulk: an optimized crystal structure of B5C7 (PBE).

abc: 2.564 2.480 12.321
angles: 90.00 90.00 90.00
Sites, in units of the cell vectors:
B 0.500 0.000 0.914
B 0.500 0.500 0.502
B 0.000 0.000 0.667
B 0.500 0.500 0.152
B 0.500 0.000 0.263
C 0.500 0.500 0.825
C 0.500 0.000 0.589
C 0.000 0.500 0.761
C 0.000 0.000 0.345
C 0.000 0.500 0.413
C 0.000 0.000 0.000
C 0.000 0.500 0.068

Calculated values
- Space-group type: No. 25
- Volume: 6.53 A^3/atom
- Distance to the lowest polymorph of the same formula: 0.0584 eV/atom

---

Record 20
Entry from Alexandria via LeMat-Bulk: an optimized crystal structure of CsMn2NiBr8 (PBE).

abc: 6.833 6.833 11.109
angles: 72.09 72.09 60.00
Sites, in units of the cell vectors:
Cs 0.000 0.000 0.000
Mn 0.759 0.759 0.722
Mn 0.241 0.241 0.278
Ni 0.500 0.500 0.500
Br 0.682 0.682 0.954
Br 0.318 0.318 0.046
Br 0.544 0.266 0.336
Br 0.734 0.456 0.664
Br 0.147 0.734 0.664
Br 0.266 0.853 0.336
Br 0.853 0.544 0.336
Br 0.456 0.147 0.664

Calculated values
- E_form (uncorrected): -0.661 eV per atom
- Space-group type: No. 155
- Volume: 34.99 A^3/atom

---

Record 21
Entry from Alexandria via LeMat-Bulk: an optimized crystal structure of LaSc2Al (PBE).

abc: 4.820 4.820 6.155
angles: 66.95 66.95 60.00
Sites, in units of the cell vectors:
La 0.491 0.491 0.528
Sc 0.039 0.039 0.883
Sc 0.279 0.279 0.162
Al 0.691 0.691 0.927

Calculated values
- Space-group type: No. 160
- Volume: 27.61 A^3/atom
- Raw total energy: -5.373 eV per atom

---

Record 22
Entry from Alexandria via LeMat-Bulk: an optimized crystal structure of Pr4Nd3ThSe8 (PBE).

abc: 8.493 8.489 8.491
angles: 119.99 120.01 90.00
Sites, in units of the cell vectors:
Pr 0.500 0.000 0.000
Pr 0.500 0.000 0.500
Pr 0.000 0.000 0.000
Pr 0.000 0.000 0.500
Nd 0.500 0.500 0.000
Nd 0.500 0.500 0.500
Nd 0.000 0.500 0.500
Th 0.000 0.500 0.000
Se 0.248 0.746 0.998
Se 0.248 0.746 0.496
Se 0.251 0.253 0.502
Se 0.750 0.746 0.998
Se 0.250 0.254 0.002
Se 0.749 0.747 0.498
Se 0.752 0.254 0.504
Se 0.752 0.254 0.002

Calculated values
- E_form (uncorrected): -1.798 eV per atom
- Space-group type: No. 166
- Volume: 27.05 A^3/atom

---

Record 23
Entry from Alexandria via LeMat-Bulk: an optimized crystal structure of RbPdSCl2 (PBE).

abc: 6.067 6.067 6.097
angles: 90.00 90.00 90.00
Sites, in units of the cell vectors:
S 0.000 0.000 0.500
Rb 0.000 0.000 0.000
Pd 0.500 0.500 0.500
Cl 0.000 0.500 0.000
Cl 0.500 0.000 0.000

Calculated values
- E_form (uncorrected): 0.608 eV per atom
- Space-group type: No. 123
- Volume: 44.88 A^3/atom
- Distance to the lowest polymorph of the same formula: 1.3370 eV/atom

---

Record 24
Entry from Alexandria via LeMat-Bulk: an optimized crystal structure of AlTlTc4 (PBE).

abc: 5.215 5.215 5.215
angles: 60.00 60.00 60.00
Sites, in units of the cell vectors:
Al 0.000 0.000 0.000
Tl 0.250 0.250 0.250
Tc 0.625 0.625 0.124
Tc 0.625 0.124 0.625
Tc 0.625 0.625 0.625
Tc 0.124 0.625 0.625

Calculated values
- Space-group type: No. 216
- Volume: 16.72 A^3/atom
- Raw total energy: -7.469 eV per atom